The following is a DFT calculation (PBE) of a geometry-optimized NdTeW4 structure.

Summary:
* SG: R-3m, No. 166
* final energy: -53.79 eV/cell
* crystal system: trigonal

Lattice parameters (Å, degrees): 6.487 6.487 6.487 44.69 44.69 44.69
Sites, in units of the cell vectors:
Nd  0.000  0.000  0.000
Te  0.500  0.500  0.500
W  0.200  0.200  0.200
W  0.344  0.344  0.344
W  0.656  0.656  0.656
W  0.800  0.800  0.800